# 1
A plane-wave DFT calculation with PBE was carried out for a geometry-optimized Mg3Cd6Sn structure.

a = 3.1149 Å, b = 10.8528 Å, c = 13.8329 Å
α = 90.00°, β = 89.98°, γ = 90.00°
Element x y z (fractional)
Cd1 0.9992 0.2287 0.6465
Cd2 0.9994 0.0956 0.2853
Cd3 0.4996 0.2241 0.4530
Mg1 0.0000 0.6007 0.6836
Sn1 0.5000 0.5000 0.5000
Mg2 0.5000 0.8993 0.1836
Cd4 0.5004 0.7759 0.5470
Cd5 0.0008 0.7713 0.3535
Cd6 0.4994 0.4044 0.7853
Cd7 0.5008 0.7287 0.8535
Mg3 0.5000 0.1007 0.8164
Mg4 0.0000 0.0000 0.5000
Cd8 0.0006 0.9044 0.7147
Cd9 0.9996 0.2759 0.9530
Sn2 0.0000 0.0000 0.0000
Cd10 0.5006 0.5956 0.2147
Mg5 0.5000 0.5000 0.0000
Cd11 0.4992 0.2713 0.1465
Cd12 0.0004 0.7241 0.0470
Mg6 0.0000 0.3993 0.3164

Properties
Calculated total energy (eV for the cell shown): -28.85
Calculated volume (Å³/cell): 468
Offset from the most stable computed form (meV/atom): 2.8



# 2
A plane-wave DFT calculation with PBE was carried out for a geometry-optimized Mg5Cd6Sn structure.

a = 4.4672 Å, b = 8.7857 Å, c = 8.3805 Å
α = 121.63°, β = 104.23°, γ = 89.99°
Element x y z (fractional)
Mg1 0.6610 0.1608 0.3206
Mg2 0.0000 0.5000 0.0000
Mg3 0.6709 0.6705 0.3415
Mg4 0.3291 0.3295 0.6585
Sn1 0.0000 0.0000 0.0000
Cd1 0.1736 0.4291 0.3421
Cd2 0.4997 0.2647 0.9995
Mg5 0.3390 0.8392 0.6794
Cd3 0.5003 0.7353 0.0005
Cd4 0.8264 0.5709 0.6579
Cd5 0.1736 0.9131 0.3424
Cd6 0.8264 0.0869 0.6576

Properties
Calculated total energy (eV for the cell shown): -18.44
Calculated volume (Å³/cell): 268



# 3
A plane-wave DFT calculation with PBE was carried out for a geometry-optimized Mg6CdSn2 structure.

a = 5.9752 Å, b = 7.6574 Å, c = 9.7180 Å
α = 90.00°, β = 82.98°, γ = 90.00°
Element x y z (fractional)
Mg1 0.3312 0.8570 0.0275
Cd1 0.0000 0.0000 0.5000
Mg2 0.3806 0.7590 0.4378
Sn1 0.0987 0.5914 0.2274
Mg3 0.8532 0.9338 0.2279
Mg4 0.3532 0.5662 0.7279
Mg5 0.1688 0.3570 0.4725
Mg6 0.1194 0.2590 0.0622
Mg7 0.1468 0.0662 0.7721
Cd2 0.5000 0.5000 0.0000
Sn2 0.9013 0.4086 0.7726
Mg8 0.6688 0.1430 0.9725
Sn3 0.5987 0.9086 0.7274
Sn4 0.4013 0.0914 0.2726
Mg9 0.6194 0.2410 0.5622
Mg10 0.8806 0.7410 0.9378
Mg11 0.8312 0.6430 0.5275
Mg12 0.6468 0.4338 0.2721

Properties
Calculated total energy (eV for the cell shown): -37.30
Calculated volume (Å³/cell): 441



# 4
A plane-wave DFT calculation with PBE was carried out for a geometry-optimized MgCd4Sn2 structure.

a = 6.0398 Å, b = 9.1331 Å, c = 7.3322 Å
α = 90.00°, β = 114.32°, γ = 90.00°
Element x y z (fractional)
Cd1 0.5000 0.2092 0.5000
Sn1 0.1340 0.5000 0.8419
Sn2 0.8660 0.5000 0.1581
Cd2 0.8640 0.0000 0.2856
Cd3 0.5000 0.7908 0.5000
Cd4 0.0000 0.2908 0.5000
Sn3 0.7078 0.0000 0.8419
Cd5 0.5784 0.5000 0.7144
Mg1 0.5000 0.7500 0.0000
Sn4 0.2922 0.0000 0.1581
Mg2 0.5000 0.2500 0.0000
Cd6 0.1360 0.0000 0.7144
Cd7 0.4216 0.5000 0.2856
Cd8 0.0000 0.7092 0.5000

Properties
Calculated total energy (eV for the cell shown): -25.82
Calculated volume (Å³/cell): 369



# 5
A plane-wave DFT calculation with PBE was carried out for a geometry-optimized Mg6Cd12Sn structure.

a = 7.6485 Å, b = 8.4206 Å, c = 8.4206 Å
α = 68.75°, β = 72.38°, γ = 107.62°
Element x y z (fractional)
Cd1 0.5187 0.8407 0.2736
Cd2 0.2077 0.7264 0.1143
Mg1 0.5711 0.5185 0.7888
Cd3 0.8328 0.9439 0.4289
Cd4 0.7923 0.2736 0.8857
Cd5 0.1672 0.0561 0.5711
Cd6 0.6780 0.8857 0.8407
Cd7 0.2617 0.4289 0.6272
Cd8 0.1111 0.3728 0.0561
Mg2 0.4289 0.4815 0.2112
Cd9 0.4813 0.1593 0.7264
Mg3 0.6401 0.2112 0.3073
Mg4 0.3599 0.7888 0.6927
Sn1 0.0000 0.0000 0.0000
Mg5 0.9474 0.3073 0.4815
Mg6 0.0526 0.6927 0.5185
Cd10 0.8889 0.6272 0.9439
Cd11 0.3220 0.1143 0.1593
Cd12 0.7383 0.5711 0.3728

Properties
Calculated total energy (eV for the cell shown): -25.51
Calculated volume (Å³/cell): 427
Offset from the most stable computed form (meV/atom): 0.0



# 6
A plane-wave DFT calculation with PBE was carried out for a geometry-optimized Mg5CdSn6 structure.

a = 4.7498 Å, b = 8.6002 Å, c = 8.6002 Å
α = 109.75°, β = 105.85°, γ = 105.85°
Element x y z (fractional)
Mg1 0.5000 0.1598 0.8402
Mg2 0.0000 0.3290 0.6710
Sn1 0.2380 0.7401 0.7401
Sn2 0.2544 0.0867 0.4219
Sn3 0.7620 0.2599 0.2599
Sn4 0.2544 0.4219 0.0867
Mg3 0.5000 0.5000 0.5000
Mg4 0.0000 0.6710 0.3290
Sn5 0.7456 0.9133 0.5781
Mg5 0.5000 0.8402 0.1598
Cd1 0.0000 0.0000 0.0000
Sn6 0.7456 0.5781 0.9133

Properties
Calculated total energy (eV for the cell shown): -34.04
Calculated volume (Å³/cell): 291



| no. | formation energy (meV/atom) |
| --- | --- |
| 1 | -15 |
| 2 | -81 |
| 3 | -18 |
| 4 | 50 |
| 5 | -51 |
| 6 | -94 |